Record 1
First-principles (PBE) data for a geometry-optimized Nd4HoAg structure, as listed in Alexandria.

Lattice parameters (Å, degrees): 3.672 3.672 14.155 90.00 90.00 90.00
Fractional positions:
1 Nd 0.500 0.500 0.824
2 Nd 0.500 0.500 0.176
3 Nd 0.000 0.000 0.639
4 Nd 0.000 0.000 0.361
5 Ho 0.000 0.000 0.000
6 Ag 0.500 0.500 0.500

The calculation puts the total DFT energy (no corrections) at -4.4818 eV/atom. The formation enthalpy at 0 K is -65 meV per atom. Its density of states at the Fermi level is 8.6 states/eV/f.u.

***

Record 2
First-principles (PBE) data for a geometry-optimized Sc3ReI structure, as listed in Alexandria.

Lattice parameters (Å, degrees): 5.085 5.085 5.085 90.00 90.00 90.00
Fractional positions:
1 I 0.000 0.000 0.000
2 Re 0.500 0.500 0.500
3 Sc 0.000 0.500 0.000
4 Sc 0.000 0.000 0.500
5 Sc 0.500 0.000 0.000

The calculation puts the total DFT energy (no corrections) at -5.4040 eV/atom. For the energy above the lowest structure with this stoichiometry, the calculation gives 0.994 eV/atom. Its density of states at the Fermi level is 7.3 states/eV/f.u.